# ScFeC2

Crystalline ScFeC2 at its relaxed geometry (GGA-PBE, Alexandria via LeMat-Bulk).

ρ, g cm⁻³: 5.14
Space-group type: R-3m
ΔE_f, eV per atom: 0.098
VASP energy, eV/atom: -8.21

Cell lengths 3.1002, 3.1002, 5.1645 Å; angles 72.53, 72.53, 60.00 degrees
Closest atoms and distances in Å follow each position.
Positions (direct):
Sc  0.5000  0.5000  0.5000  6 C 2.28
Fe  0.0000  0.0000  0.0000  6 C 2.06
C  0.2637  0.2637  0.2090  3 Fe 2.06, 3 Sc 2.28
C  0.7363  0.7363  0.7910  3 Fe 2.06, 3 Sc 2.28